No. 1
Entry from the Alexandria database: a relaxed structure of NdPuMnOs (PBE).

Lattice parameters (Å, degrees): 4.9151 4.9151 4.9151 60.00 60.00 60.00
Positions (direct):
Nd 0.0000 0.0000 0.0000
Pu 0.5000 0.5000 0.5000
Mn 0.7500 0.7500 0.7500
Os 0.2500 0.2500 0.2500

Calculated values
Energy, eV for the cell shown: -39.0
Energy of formation, eV per atom: 0.13



No. 2
Entry from the Alexandria database: a relaxed structure of NdMnSi3Os (PBE).

Lattice parameters (Å, degrees): 6.5353 6.5353 5.5382 90.00 90.00 110.78
Positions (direct):
Nd 0.2453 0.7547 0.7500
Nd 0.7547 0.2453 0.2500
Mn 0.0455 0.9545 0.2500
Mn 0.9545 0.0455 0.7500
Si 0.2398 0.2398 0.0000
Si 0.2398 0.2398 0.5000
Si 0.2422 0.7578 0.2500
Si 0.7578 0.2422 0.7500
Si 0.7602 0.7602 0.0000
Si 0.7602 0.7602 0.5000
Os 0.4504 0.5496 0.2500
Os 0.5496 0.4504 0.7500

Calculated values
Energy, eV for the cell shown: -86.6
Uncorrected formation energy, eV per atom: -0.31



No. 3
Entry from the Alexandria database: a relaxed structure of NdMnSi2Os (PBE).

Lattice parameters (Å, degrees): 5.9558 5.9558 5.9558 140.26 140.26 57.46
Positions (direct):
Nd 0.0000 0.0000 0.0000
Mn 0.2500 0.7500 0.5000
Si 0.3768 0.3768 0.0000
Si 0.6232 0.6232 0.0000
Os 0.7500 0.2500 0.5000

Calculated values
Energy, eV for the cell shown: -39.3
Uncorrected formation energy, eV per atom: -0.67



No. 4
Entry from the Alexandria database: a relaxed structure of NdMn4P12 (PBE).

Lattice parameters (Å, degrees): 6.8838 6.8838 6.8838 109.47 109.47 109.47
Positions (direct):
Nd 0.0000 0.0000 0.0000
Mn 0.0000 0.0000 0.5000
Mn 0.0000 0.5000 0.0000
Mn 0.5000 0.0000 0.0000
Mn 0.5000 0.5000 0.5000
P 0.1475 0.3535 0.5011
P 0.1475 0.6465 0.7940
P 0.2060 0.8525 0.3535
P 0.3535 0.2060 0.8525
P 0.3535 0.5011 0.1475
P 0.4989 0.8525 0.6465
P 0.5011 0.1475 0.3535
P 0.6465 0.4989 0.8525
P 0.6465 0.7940 0.1475
P 0.7940 0.1475 0.6465
P 0.8525 0.3535 0.2060
P 0.8525 0.6465 0.4989

Calculated values
Energy, eV for the cell shown: -114.2
Energy of formation, eV per atom: -0.46



No. 5
Entry from the Alexandria database: a relaxed structure of NdMn9P4 (PBE).

Lattice parameters (Å, degrees): 7.9603 7.9603 7.9603 122.67 122.67 85.44
Positions (direct):
Nd 0.2500 0.2500 0.0000
Nd 0.7500 0.7500 0.0000
Mn 0.0000 0.5000 0.5000
Mn 0.0462 0.5462 0.2393
Mn 0.0653 0.8106 0.8759
Mn 0.1894 0.0653 0.2547
Mn 0.1930 0.9538 0.5000
Mn 0.3070 0.8070 0.7607
Mn 0.3106 0.5653 0.8759
Mn 0.4347 0.3106 0.7453
Mn 0.4538 0.6930 0.5000
Mn 0.5000 0.0000 0.5000
Mn 0.5462 0.3070 0.5000
Mn 0.5653 0.6894 0.2547
Mn 0.6894 0.4347 0.1241
Mn 0.6930 0.1930 0.2393
Mn 0.8070 0.0462 0.5000
Mn 0.8106 0.9347 0.7453
Mn 0.9347 0.1894 0.1241
Mn 0.9538 0.4538 0.7607
P 0.0352 0.2051 0.5000
P 0.2051 0.7051 0.1699
P 0.2949 0.4648 0.5000
P 0.4648 0.9648 0.1699
P 0.5352 0.0352 0.8301
P 0.7051 0.5352 0.5000
P 0.7949 0.2949 0.8301
P 0.9648 0.7949 0.5000

Calculated values
Energy, eV for the cell shown: -230.4
Energy of formation, eV per atom: -0.45



No. 6
Entry from the Alexandria database: a relaxed structure of NdMnP2Pd (PBE).

Lattice parameters (Å, degrees): 5.8405 5.8405 5.8405 139.19 139.19 59.08
Positions (direct):
Nd 0.0000 0.0000 0.0000
Mn 0.7500 0.2500 0.5000
P 0.3804 0.3804 0.0000
P 0.6196 0.6196 0.0000
Pd 0.2500 0.7500 0.5000

Calculated values
Energy, eV for the cell shown: -34.1
Energy of formation, eV per atom: -0.84



No. 7
Entry from the Alexandria database: a relaxed structure of Nd2MnP4Pt3 (PBE).

Lattice parameters (Å, degrees): 4.2008 4.2008 9.7125 90.00 90.00 90.00
Positions (direct):
Nd 0.0000 0.5000 0.2475
Nd 0.5000 0.0000 0.7525
Mn 0.0000 0.0000 0.5000
P 0.0000 0.0000 0.0000
P 0.0000 0.5000 0.6280
P 0.5000 0.0000 0.3720
P 0.5000 0.5000 0.0000
Pt 0.0000 0.5000 0.8787
Pt 0.5000 0.0000 0.1213
Pt 0.5000 0.5000 0.5000

Calculated values
Energy, eV for the cell shown: -67.6
Energy of formation, eV per atom: -0.91



No. 8
Entry from the Alexandria database: a relaxed structure of Nd3MnP2Rh9 (PBE).

Lattice parameters (Å, degrees): 6.0854 6.0854 8.6987 90.00 90.00 120.00
Positions (direct):
Nd 0.0000 0.0000 0.0000
Nd 0.3333 0.6667 0.6414
Nd 0.6667 0.3333 0.3586
Mn 0.0000 0.0000 0.5000
P 0.3333 0.6667 0.1642
P 0.6667 0.3333 0.8358
Rh 0.0000 0.5000 0.0000
Rh 0.1543 0.3086 0.2926
Rh 0.1543 0.8457 0.2926
Rh 0.3086 0.1543 0.7074
Rh 0.5000 0.0000 0.0000
Rh 0.5000 0.5000 0.0000
Rh 0.6914 0.8457 0.2926
Rh 0.8457 0.1543 0.7074
Rh 0.8457 0.6914 0.7074

Calculated values
Energy, eV for the cell shown: -108.4
Energy of formation, eV per atom: -0.53



No. 9
Entry from the Alexandria database: a relaxed structure of Nd2MnP3Rh4 (PBE).

Lattice parameters (Å, degrees): 4.0987 4.0987 10.0484 90.00 90.00 90.00
Positions (direct):
Nd 0.0000 0.5000 0.2489
Nd 0.5000 0.0000 0.7511
Mn 0.5000 0.5000 0.0000
P 0.0000 0.0000 0.0000
P 0.0000 0.5000 0.6352
P 0.5000 0.0000 0.3648
Rh 0.0000 0.0000 0.5000
Rh 0.0000 0.5000 0.8663
Rh 0.5000 0.0000 0.1337
Rh 0.5000 0.5000 0.5000

Calculated values
Energy, eV for the cell shown: -73.9
Energy of formation, eV per atom: -0.95



No. 10
Entry from the Alexandria database: a relaxed structure of NdMnP2Rh (PBE).

Lattice parameters (Å, degrees): 5.7550 5.7550 5.7550 139.39 139.39 58.78
Positions (direct):
Nd 0.0000 0.0000 0.0000
Mn 0.7500 0.2500 0.5000
P 0.3670 0.3670 0.0000
P 0.6330 0.6330 0.0000
Rh 0.2500 0.7500 0.5000

Calculated values
Energy, eV for the cell shown: -37.0
Energy of formation, eV per atom: -0.98



No. 11
Entry from the Alexandria database: a relaxed structure of Nd2MnP3Rh12 (PBE).

Lattice parameters (Å, degrees): 7.0527 7.0527 7.0527 73.76 73.76 73.76
Positions (direct):
Nd 0.1072 0.1072 0.1072
Nd 0.8928 0.8928 0.8928
Mn 0.5000 0.5000 0.5000
P 0.0000 0.5000 0.5000
P 0.5000 0.0000 0.5000
P 0.5000 0.5000 0.0000
Rh 0.1406 0.6456 0.6456
Rh 0.1686 0.1686 0.5874
Rh 0.1686 0.5874 0.1686
Rh 0.3544 0.3544 0.8594
Rh 0.3544 0.8594 0.3544
Rh 0.4126 0.8314 0.8314
Rh 0.5874 0.1686 0.1686
Rh 0.6456 0.1406 0.6456
Rh 0.6456 0.6456 0.1406
Rh 0.8314 0.4126 0.8314
Rh 0.8314 0.8314 0.4126
Rh 0.8594 0.3544 0.3544

Calculated values
Energy, eV for the cell shown: -126.9
Energy of formation, eV per atom: -0.21



No. 12
Entry from the Alexandria database: a relaxed structure of Nd2MnP4Rh3 (PBE).

Lattice parameters (Å, degrees): 4.1592 4.1592 9.4889 90.00 90.00 90.00
Positions (direct):
Nd 0.0000 0.5000 0.2417
Nd 0.5000 0.0000 0.7583
Mn 0.0000 0.0000 0.5000
P 0.0000 0.0000 0.0000
P 0.0000 0.5000 0.6246
P 0.5000 0.0000 0.3754
P 0.5000 0.5000 0.0000
Rh 0.0000 0.5000 0.8838
Rh 0.5000 0.0000 0.1162
Rh 0.5000 0.5000 0.5000

Calculated values
Energy, eV for the cell shown: -72.5
Energy of formation, eV per atom: -1.01



No. 13
Entry from the Alexandria database: a relaxed structure of NdPa2Mn (PBE).

Lattice parameters (Å, degrees): 9.0262 9.0262 9.0262 23.34 23.34 23.34
Positions (direct):
Nd 0.0000 0.0000 0.0000
Pa 0.2239 0.2239 0.2239
Pa 0.7761 0.7761 0.7761
Mn 0.5000 0.5000 0.5000

Calculated values
Energy, eV for the cell shown: -32.2
Energy of formation, eV per atom: 0.18



No. 14
Entry from the Alexandria database: a relaxed structure of NdPa2MnS8 (PBE).

Lattice parameters (Å, degrees): 6.1061 8.0658 6.3300 90.00 93.97 90.00
Positions (direct):
Nd 0.0000 0.0000 0.0000
Pa 0.5000 0.2588 0.5000
Pa 0.5000 0.7412 0.5000
Mn 0.0000 0.5000 0.0000
S 0.2133 0.2875 0.1672
S 0.2133 0.7125 0.1672
S 0.2857 0.5000 0.6650
S 0.2933 0.0000 0.6631
S 0.7067 0.0000 0.3369
S 0.7143 0.5000 0.3350
S 0.7867 0.2875 0.8328
S 0.7867 0.7125 0.8328

Calculated values
Energy, eV for the cell shown: -81.9
Uncorrected formation energy, eV per atom: -1.33



No. 15
Entry from the Alexandria database: a relaxed structure of NdPaMn2S8 (PBE).

Lattice parameters (Å, degrees): 7.9675 7.9675 7.9675 133.13 133.13 68.45
Positions (direct):
Nd 0.0000 0.0000 0.0000
Pa 0.2500 0.7500 0.5000
Mn 0.5000 0.5000 0.0000
Mn 0.7500 0.2500 0.5000
S 0.2834 0.6968 0.1365
S 0.3032 0.4397 0.5866
S 0.4009 0.0174 0.0575
S 0.5603 0.1469 0.8635
S 0.6566 0.5991 0.6165
S 0.8531 0.7166 0.4134
S 0.9599 0.3434 0.9425
S 0.9826 0.0401 0.3835

Calculated values
Energy, eV for the cell shown: -76.5
Uncorrected formation energy, eV per atom: -0.91



No. 16
Entry from the Alexandria database: a relaxed structure of NdPaMnS6 (PBE).

Lattice parameters (Å, degrees): 6.4565 6.4565 5.8921 90.00 90.00 120.00
Positions (direct):
Nd 0.0000 0.0000 0.0000
Pa 0.6667 0.3333 0.5000
Mn 0.3333 0.6667 0.0000
S 0.0259 0.3842 0.2411
S 0.0259 0.6417 0.7589
S 0.3583 0.3842 0.7589
S 0.3583 0.9741 0.2411
S 0.6158 0.6417 0.2411
S 0.6158 0.9741 0.7589

Calculated values
Energy, eV for the cell shown: -58.2
Uncorrected formation energy, eV per atom: -1.12



No. 17
Entry from the Alexandria database: a relaxed structure of Nd3MnPd12 (PBE).

Lattice parameters (Å, degrees): 4.1581 4.1581 16.3685 90.00 90.00 90.00
Positions (direct):
Nd 0.0000 0.0000 0.0000
Nd 0.0000 0.0000 0.2596
Nd 0.0000 0.0000 0.7404
Mn 0.0000 0.0000 0.5000
Pd 0.0000 0.5000 0.1295
Pd 0.0000 0.5000 0.3897
Pd 0.0000 0.5000 0.6103
Pd 0.0000 0.5000 0.8705
Pd 0.5000 0.0000 0.1295
Pd 0.5000 0.0000 0.3897
Pd 0.5000 0.0000 0.6103
Pd 0.5000 0.0000 0.8705
Pd 0.5000 0.5000 0.0000
Pd 0.5000 0.5000 0.2592
Pd 0.5000 0.5000 0.5000
Pd 0.5000 0.5000 0.7408

Calculated values
Energy, eV for the cell shown: -95.6
Energy of formation, eV per atom: -0.61



No. 18
Entry from the Alexandria database: a relaxed structure of NdMnPdRh (PBE).

Lattice parameters (Å, degrees): 4.7443 4.7443 4.7443 60.00 60.00 60.00
Positions (direct):
Nd 0.0000 0.0000 0.0000
Mn 0.5000 0.5000 0.5000
Pd 0.2500 0.2500 0.2500
Rh 0.7500 0.7500 0.7500

Calculated values
Energy, eV for the cell shown: -27.9
Energy of formation, eV per atom: -0.35



No. 19
Entry from the Alexandria database: a relaxed structure of Nd2MnSiPd6 (PBE).

Lattice parameters (Å, degrees): 6.4077 6.4077 8.3706 127.73 127.73 51.26
Positions (direct):
Nd 0.2407 0.2407 0.2198
Nd 0.7593 0.7593 0.7802
Mn 0.5000 0.5000 0.0000
Si 0.0000 0.0000 0.5000
Pd 0.2320 0.7323 0.2443
Pd 0.2498 0.2498 0.5996
Pd 0.2677 0.7680 0.7557
Pd 0.7323 0.2320 0.2443
Pd 0.7502 0.7502 0.4004
Pd 0.7680 0.2677 0.7557

Calculated values
Energy, eV for the cell shown: -61.0
Uncorrected formation energy, eV per atom: -0.57



No. 20
Entry from the Alexandria database: a relaxed structure of PmNdMn (PBE).

Lattice parameters (Å, degrees): 5.3859 4.8940 6.9090 90.00 112.77 90.00
Positions (direct):
Pm 0.0923 0.2500 0.2283
Pm 0.9077 0.7500 0.7717
Nd 0.3639 0.2500 0.7735
Nd 0.6361 0.7500 0.2265
Mn 0.3371 0.7500 0.5000
Mn 0.6629 0.2500 0.5000

Calculated values
Energy, eV for the cell shown: -36.2
Energy of formation, eV per atom: 0.20



No. 21
Entry from the Alexandria database: a relaxed structure of PmNd2MnS5 (PBE).

Lattice parameters (Å, degrees): 8.6251 8.6251 12.0822 90.00 90.00 153.54
Positions (direct):
Pm 0.1804 0.8196 0.5000
Pm 0.8196 0.1804 0.0000
Nd 0.1179 0.8821 0.1631
Nd 0.1231 0.8769 0.8183
Nd 0.8769 0.1231 0.3183
Nd 0.8821 0.1179 0.6631
Mn 0.4530 0.5470 0.8957
Mn 0.5470 0.4530 0.3957
S 0.0111 0.9889 0.4873
S 0.2995 0.7005 0.1654
S 0.3179 0.6821 0.8297
S 0.3453 0.6547 0.4899
S 0.4915 0.5085 0.2230
S 0.5085 0.4915 0.7230
S 0.6547 0.3453 0.9899
S 0.6821 0.3179 0.3297
S 0.7005 0.2995 0.6654
S 0.9889 0.0111 0.9873

Calculated values
Energy, eV for the cell shown: -118.9
Uncorrected formation energy, eV per atom: -1.71



No. 22
Entry from the Alexandria database: a relaxed structure of PmNdMnZn (PBE).

Lattice parameters (Å, degrees): 5.1777 5.1777 5.1777 60.00 60.00 60.00
Positions (direct):
Pm 0.0000 0.0000 0.0000
Nd 0.5000 0.5000 0.5000
Mn 0.2500 0.2500 0.2500
Zn 0.7500 0.7500 0.7500

Calculated values
Energy, eV for the cell shown: -19.9
Energy of formation, eV per atom: 0.00